[1]
Material: PaInBrO4
Method: DFT, PBE
State: optimized geometry

Results
Energy relative to the elements, uncorrected = -2.1113 eV/atom

a = 7.154 Å, b = 7.154 Å, c = 7.211 Å
α = 75.33°, β = 75.33°, γ = 55.23°
Fractional coordinates of all 14 atoms:
Pa1 0.291 0.291 0.861
Pa2 0.709 0.709 0.139
In1 0.629 0.629 0.724
In2 0.371 0.371 0.276
Br1 0.014 0.014 0.152
Br2 0.986 0.986 0.848
O1 0.309 0.309 0.569
O2 0.691 0.691 0.431
O3 0.089 0.505 0.131
O4 0.540 0.540 0.199
O5 0.495 0.911 0.869
O6 0.505 0.089 0.131
O7 0.460 0.460 0.801
O8 0.911 0.495 0.869

=====

[2]
Material: Ta2TlCd
Method: DFT, PBE
State: optimized geometry

Results
Formation energy = 0.550 eV/atom

a = 5.399 Å, b = 5.399 Å, c = 5.399 Å
α = 134.28°, β = 134.28°, γ = 66.65°
Fractional coordinates of all 4 atoms:
Tl1 0.500 0.500 0.000
Cd1 0.750 0.250 0.500
Ta1 0.000 0.000 0.000
Ta2 0.250 0.750 0.500

=====

[3]
Material: Sc8Ni2Ag
Method: DFT, PBE
State: optimized geometry

Results
Formation energy = -0.148 eV/atom
Energy above the most stable polymorph in this dataset = 4.1 kJ per mole of atoms

a = 4.978 Å, b = 7.324 Å, c = 7.324 Å
α = 114.56°, β = 97.92°, γ = 97.92°
Site moments in Bohr magnetons follow the coordinates.
Fractional coordinates of all 11 atoms:
Sc1 0.915 0.926 0.671  0.07
Sc2 0.915 0.671 0.926  0.07
Sc3 0.308 0.617 0.617  0.07
Sc4 0.500 0.757 0.243  0.02
Sc5 0.500 0.243 0.757  0.02
Sc6 0.692 0.383 0.383  0.07
Sc7 0.085 0.329 0.074  0.07
Sc8 0.085 0.074 0.329  0.07
Ni1 0.000 0.308 0.692  0.01
Ni2 0.000 0.692 0.308  0.01
Ag1 0.500 0.000 0.000  0.00